Below is a relaxed structure of CaLa2H6, with properties calculated at the PBE-GGA level.

Output
final energy	-4.173	eV/atom
density	4.2	Mg/m³
magnetic moment	0.000	μB/atom

Structure (CIF):
```
data_CaLa2H6
_cell_length_a 3.932
_cell_length_b 5.540
_cell_length_c 11.870
_cell_angle_alpha 90.00
_cell_angle_beta 90.00
_cell_angle_gamma 90.00
_space_group_name_H-M_alt 'I m m m'
_space_group_IT_number 71
_space_group_name_Hall '-I 2 2'
loop_
_atom_site_label
_atom_site_type_symbol
_atom_site_fract_x
_atom_site_fract_y
_atom_site_fract_z
Ca1 Ca 0.000 0.000 0.000
La1 La 0.000 0.000 0.336
H1 H 0.000 0.246 0.166
H2 H 0.000 0.254 0.500
```